No. 1
This record from the Alexandria database describes a geometry-optimized Mg2FeHRh structure. The functional is GGA-PBE.

Cell lengths 4.3139, 4.3139, 3.3500 Å; angles 90.00, 90.00, 90.00 degrees
Closest atoms and distances in Å follow each position.
Sites, in units of the cell vectors:
H 0.0000 0.0000 0.0000  2 Fe 1.68
Mg 0.0000 0.5000 0.0000  2 H 2.16
Mg 0.5000 0.0000 0.0000  2 H 2.16
Rh 0.5000 0.5000 0.5000  8 Mg 2.73, 4 Fe 3.05
Fe 0.0000 0.0000 0.5000  2 H 1.68

Output
The value obtained for the calculated density is 5.55 g/cm3. Its density of states at the Fermi level is 0.83 states/eV/atom. Its space group is No. 123.

No. 2
This record from the Alexandria database describes a geometry-optimized Dy6ScTl2 structure. The functional is GGA-PBE.

Cell lengths 3.6811, 6.5808, 11.7403 Å; angles 73.92, 80.98, 73.76 degrees
Closest atoms and distances in Å follow each position.
Sites, in units of the cell vectors:
Dy 0.6752 0.5283 0.1214  2 Tl 3.27, 5 Dy 3.44-3.55, 2 Sc 3.49
Dy 0.3249 0.4717 0.8786  2 Tl 3.27, 5 Dy 3.44-3.55, 2 Sc 3.49
Dy 0.3085 0.7916 0.5914  2 Tl 3.39, 10 Dy 3.44-3.68
Dy 0.9793 0.6961 0.3454  2 Tl 3.26, 7 Dy 3.49-3.57
Dy 0.0207 0.3039 0.6546  2 Tl 3.26, 7 Dy 3.49-3.57
Dy 0.6915 0.2084 0.4086  2 Tl 3.39, 10 Dy 3.44-3.68
Sc 0.0000 0.0000 0.0000  4 Tl 3.00
Tl 0.3625 0.0877 0.1873  2 Sc 3.00, 4 Dy 3.26-3.27
Tl 0.6375 0.9123 0.8127  2 Sc 3.00, 4 Dy 3.26-3.27

Output
The value obtained for the calculated density is 9.08 g/cm3. The formation energy comes out at -0.14 eV per atom. Its density of states at the Fermi level is 1.23 states/eV/atom. Its space group is No. 12.

No. 3
This record from the Alexandria database describes a geometry-optimized YTmMgPd structure. The functional is GGA-PBE.

Cell lengths 5.1048, 5.1048, 5.1048 Å; angles 60.00, 60.00, 60.00 degrees
Closest atoms and distances in Å follow each position.
Sites, in units of the cell vectors:
Y 0.0000 0.0000 0.0000  4 Mg 3.13, 4 Pd 3.13
Mg 0.7500 0.7500 0.7500  4 Y 3.13, 4 Tm 3.13
Tm 0.5000 0.5000 0.5000  4 Mg 3.13, 4 Pd 3.13
Pd 0.2500 0.2500 0.2500  4 Tm 3.13, 4 Y 3.13

Output
The value obtained for the calculated density is 6.86 g/cm3. The formation energy comes out at -0.41 eV per atom. Its density of states at the Fermi level is 0.73 states/eV/atom. Its space group is No. 216.

No. 4
This record from the Alexandria database describes a geometry-optimized Mg5Pb2 structure. The functional is GGA-PBE.

Cell lengths 4.5170, 4.4783, 17.5726 Å; angles 90.00, 97.38, 90.00 degrees
Closest atoms and distances in Å follow each position.
Sites, in units of the cell vectors:
Mg 0.9666 0.2500 0.9331  2 Pb 3.09, 10 Mg 3.18-3.32
Mg 0.0334 0.7500 0.0669  2 Pb 3.09, 10 Mg 3.18-3.32
Mg 0.5325 0.2500 0.0649  2 Pb 3.12, 10 Mg 3.18-3.33
Mg 0.4675 0.7500 0.9351  2 Pb 3.12, 10 Mg 3.18-3.33
Mg 0.7502 0.2500 0.5004  4 Pb 3.07-3.08, 8 Mg 3.18-3.34
Mg 0.2498 0.7500 0.4996  4 Pb 3.07-3.08, 8 Mg 3.18-3.34
Mg 0.1795 0.2500 0.3589  5 Pb 2.97-3.20, 2 Mg 3.32
Mg 0.8205 0.7500 0.6411  5 Pb 2.97-3.20, 2 Mg 3.32
Mg 0.3967 0.2500 0.7934  5 Pb 3.02-3.20, 4 Mg 3.32-3.33
Mg 0.6033 0.7500 0.2066  5 Pb 3.02-3.20, 4 Mg 3.32-3.33
Pb 0.0944 0.2500 0.1887  9 Mg 2.97-3.20
Pb 0.9056 0.7500 0.8113  9 Mg 2.97-3.20
Pb 0.3102 0.2500 0.6203  9 Mg 3.02-3.20
Pb 0.6898 0.7500 0.3797  9 Mg 3.02-3.20

Output
The value obtained for the calculated density is 5.05 g/cm3. The formation energy comes out at -0.04 eV per atom. Its density of states at the Fermi level is 0.30 states/eV/atom. Its space group is No. 63.

No. 5
This record from the Alexandria database describes a geometry-optimized La3RuAu structure. The functional is GGA-PBE.

Cell lengths 8.8537, 8.5660, 4.1280 Å; angles 90.02, 76.52, 98.46 degrees
Closest atoms and distances in Å follow each position.
Sites, in units of the cell vectors:
Ru 0.2740 0.6836 0.7466  6 La 2.72-2.84
Ru 0.7242 0.9472 0.0214  6 La 2.83-3.16
Au 0.8430 0.4328 0.4630  7 La 3.10-3.41
Au 0.2953 0.1900 0.7364  6 La 3.18-3.42
La 0.9247 0.0846 0.4218  2 Ru 2.83, 1 Au 3.17
La 0.3242 0.9137 0.2221  2 Ru 2.84, 2 Au 3.18
La 0.9605 0.6983 0.9043  1 Ru 2.72
La 0.2288 0.4555 0.2694  2 Ru 2.83
La 0.6154 0.2503 0.0766  1 Ru 2.89, 2 Au 3.10
La 0.6068 0.7181 0.5804  3 Ru 2.84-2.92

Output
The value obtained for the calculated density is 7.89 g/cm3. The formation energy comes out at -0.46 eV per atom. Its density of states at the Fermi level is 0.56 states/eV/atom. Its space group is No. 8.

Number 1: total DFT energy (no corrections) -4.583 eV/atom. Number 2: total DFT energy (no corrections) -4.442 eV/atom. Number 3: total DFT energy (no corrections) -4.845 eV/atom. Number 4: total DFT energy (no corrections) -2.243 eV/atom. Number 5: total DFT energy (no corrections) -5.927 eV/atom.